[1]
## KAlPd3 (PBE)

Data for crystalline KAlPd3 at its relaxed geometry.

a = 4.9381 Å, b = 4.9381 Å, c = 4.9381 Å
α = 90.00°, β = 90.00°, γ = 90.00°
With the nearest neighbours (Å) after each atom.
Positions (direct):
K1 0.0000 0.0000 0.0000  6 Pd 2.47
Al1 0.5000 0.5000 0.5000  12 Pd 3.49
Pd1 0.0000 0.0000 0.5000  2 K 2.47
Pd2 0.0000 0.5000 0.0000  2 K 2.47
Pd3 0.5000 0.0000 0.0000  2 K 2.47

Space-group type ... Pm-3m, No. 221
VASP energy ... -13.969 eV for the cell shown
Energy above the most stable polymorph in this dataset ... 1.375 eV per atom

=====

[2]
## KAlPd3 (PBE)

Data for crystalline KAlPd3 at its relaxed geometry.

a = 4.7563 Å, b = 4.7563 Å, c = 4.7563 Å
α = 90.00°, β = 90.00°, γ = 90.00°
With the nearest neighbours (Å) after each atom.
Positions (direct):
K1 0.0000 0.0000 0.0000  12 Pd 3.36
Al1 0.5000 0.5000 0.5000  6 Pd 2.38
Pd1 0.0000 0.5000 0.5000  2 Al 2.38
Pd2 0.5000 0.0000 0.5000  2 Al 2.38
Pd3 0.5000 0.5000 0.0000  2 Al 2.38

Space-group type ... Pm-3m, No. 221
VASP energy ... -20.842 eV for the cell shown
Energy above the most stable polymorph in this dataset ... 0.000 eV per atom

=====

[3]
## K2Al2Pd (PBE)

Data for crystalline K2Al2Pd at its relaxed geometry.

a = 6.6886 Å, b = 6.6886 Å, c = 6.0050 Å
α = 90.00°, β = 90.00°, γ = 90.00°
With the nearest neighbours (Å) after each atom.
Positions (direct):
K1 0.1840 0.3160 0.0000  6 Al 3.39-3.75, 5 K 3.46-3.48
K2 0.3160 0.8160 0.0000  6 Al 3.39-3.75, 5 K 3.46-3.48
K3 0.6840 0.1840 0.0000  6 Al 3.39-3.75, 5 K 3.46-3.48
K4 0.8160 0.6840 0.0000  6 Al 3.39-3.75, 5 K 3.46-3.48
Al1 0.1500 0.6500 0.5000  2 Pd 2.55, 1 Al 2.84
Al2 0.3500 0.1500 0.5000  2 Pd 2.55, 1 Al 2.84
Al3 0.6500 0.8500 0.5000  2 Pd 2.55, 1 Al 2.84
Al4 0.8500 0.3500 0.5000  2 Pd 2.55, 1 Al 2.84
Pd1 0.0000 0.0000 0.5000  4 Al 2.55
Pd2 0.5000 0.5000 0.5000  4 Al 2.55

Space-group type ... P4/mbm, No. 127
VASP energy ... -29.725 eV for the cell shown

=====

[4]
## KAlPd2 (PBE)

Data for crystalline KAlPd2 at its relaxed geometry.

a = 4.7441 Å, b = 4.7441 Å, c = 4.7441 Å
α = 60.00°, β = 60.00°, γ = 60.00°
With the nearest neighbours (Å) after each atom.
Positions (direct):
K1 0.0000 0.0000 0.0000  8 Pd 2.91
Al1 0.5000 0.5000 0.5000  8 Pd 2.91
Pd1 0.2500 0.2500 0.2500  4 K 2.91, 4 Al 2.91
Pd2 0.7500 0.7500 0.7500  4 K 2.91, 4 Al 2.91

Space-group type ... Fm-3m, No. 225
VASP energy ... -15.033 eV for the cell shown
Energy above the most stable polymorph in this dataset ... 0.149 eV per atom

=====

Number 1: total magnetization 0.00 μB per atom. Number 2: total magnetization 0.00 μB per atom. Number 3: total magnetization 0.00 μB per atom. Number 4: total magnetization 0.00 μB per atom.